No. 1
Material: PrSmPt
Method: DFT, PBE
State: optimized geometry

Cell and atoms, written as POSCAR:
```
PrSmPt
1.0
-3.6722 1.2713 1.9763
0.9079 -2.9432 3.5803
1.6057 4.4397 0.1275
Sm Pr Pt
1 1 1
direct
0.2545 0.3333 0.6667
0.7226 0.6667 0.3333
0.0228 0.0000 0.0000
```

Values from the calculation:
- Energy of formation: -0.61 eV/atom
- M_tot: 0.00 μB/atom
- ρ: 9.59 Mg/m³
- Relative energy among the computed polymorphs: 0.625 eV per formula unit

---

No. 2
Material: PrSm2Pt
Method: DFT, PBE
State: optimized geometry

Cell and atoms, written as POSCAR:
```
PrSm2Pt
1.0
-3.6810 1.1775 1.1351
-2.8382 0.6904 -2.7735
-4.8412 -8.2271 -0.0186
Sm Pr Pt
2 1 1
direct
0.2731 0.2731 0.1806
0.0596 0.0596 0.8213
0.5016 0.5016 0.4953
0.6658 0.6658 0.0027
```

Values from the calculation:
- Energy of formation: -0.50 eV/atom
- M_tot: 0.00 μB/atom
- ρ: 8.13 Mg/m³
- Relative energy among the computed polymorphs: 0.570 eV per formula unit

---

Q: Number 1 is which compound?
A: PrSmPt